DFT (PBE+U) results for an optimized crystal structure of PaMn2InO8.

## Properties
Total energy   -7.4124 eV per atom
Total moment   6.00 μB/f.u.

CIF file:
```
data_PaMn2InO8
_cell_length_a 6.932
_cell_length_b 6.932
_cell_length_c 6.629
_cell_angle_alpha 90.00
_cell_angle_beta 90.00
_cell_angle_gamma 90.00
_symmetry_space_group_name_H-M 'I -4 m 2'
_symmetry_Int_Tables_number 119
_symmetry_space_group_name_Hall 'I -4 -2'
loop_
_atom_site_label
_atom_site_type_symbol
_atom_site_fract_x
_atom_site_fract_y
_atom_site_fract_z
Pa1 Pa 0.000 0.000 0.000
Mn1 Mn 0.000 0.000 0.500
Mn2 Mn 0.000 0.500 0.750
In1 In 0.000 0.500 0.250
O1 O 0.000 0.179 0.301
O2 O 0.000 0.318 0.945
```